Crystalline KCaAu2 at its relaxed geometry. Source: the Alexandria database, functional PBE-GGA.

```
KCaAu2
1.0
8.3025 0.0000 0.0000
0.0000 8.3025 0.0000
0.0000 0.0000 7.3574
K Ca Au
4 4 8
direct
0.0000 0.0000 0.0000
0.0000 0.5000 0.2500
0.5000 0.0000 0.7500
0.5000 0.5000 0.5000
0.0000 0.0000 0.5000
0.0000 0.5000 0.7500
0.5000 0.0000 0.2500
0.5000 0.5000 0.0000
0.2188 0.2500 0.6250
0.2500 0.7188 0.8750
0.2500 0.7812 0.3750
0.2812 0.2500 0.1250
0.7188 0.7500 0.1250
0.7500 0.2188 0.3750
0.7500 0.2812 0.8750
0.7812 0.7500 0.6250
```

Calculated values
ΔE_f (eV per atom): -0.280
DFT total energy (eV/atom): -2.69



Crystalline Tb8YTm6 at its relaxed geometry. Source: the Alexandria database, functional PBE-GGA.

```
Tb8YTm6
1.0
9.3542 0.0000 0.0000
-4.6771 8.1010 0.0000
0.0000 0.0000 6.4906
Tb Y Tm
8 1 6
direct
0.0915 0.6798 0.4070
0.3202 0.4117 0.4070
0.3333 0.6667 0.8362
0.4117 0.0915 0.5930
0.5883 0.9085 0.4070
0.6667 0.3333 0.1638
0.6798 0.5883 0.5930
0.9085 0.3202 0.5930
0.0000 0.0000 0.5000
0.0229 0.3348 0.0990
0.3119 0.9771 0.0990
0.3348 0.3119 0.9010
0.6652 0.6881 0.0990
0.6881 0.0229 0.9010
0.9771 0.6652 0.9010
```

Calculated values
ΔE_f (eV per atom): 0.242
Energy above the most stable polymorph in this dataset (eV per atom): 0.1061
DFT total energy (eV/atom): -4.45



Number 1: M_tot 0.0 μB/cell. Number 2: M_tot 0.0 μB/cell.